(1)
Below is Th4As5H after structural relaxation, with properties calculated at the GGA-PBE level.

The value obtained for the total energy is -6.504 eV/atom.

It has space group C2/m (No. 12), with a = 16.1896 Å, b = 4.3754 Å, c = 7.4461 Å, α = 90.00°, β = 92.13° and γ = 90.00°. The inequivalent atoms are Th at (0.0107, 0.0000, 0.2405), Th at (0.2129, 0.5000, 0.7462), As at (0.0000, 0.5000, 0.5000), As at (0.1485, 0.0000, 0.9885), As at (0.1544, 0.0000, 0.5060) and H at (0.0000, 0.5000, 0.0000).

---

(2)
Below is YPb2 after structural relaxation, with properties calculated at the GGA-PBE level.

The energy relative to the elements comes out at -0.074 eV/atom.

It has space group Fd-3m (No. 227, origin choice 2), with a = 9.0890 Å, b = 9.0890 Å, c = 9.0890 Å, α = 90.00°, β = 90.00° and γ = 90.00°. The inequivalent atoms are Y at (0.1250, 0.1250, 0.1250) and Pb at (0.0000, 0.0000, 0.5000).

---

(3)
Below is YTaP2 after structural relaxation, with properties calculated at the GGA-PBE level.

The energy relative to the elements comes out at -1.070 eV/atom. The polymorph energy (0 for the lowest one) comes out at 0.0 meV/atom.

It has space group R-3m (No. 166, hexagonal axes), with a = 3.7550 Å, b = 3.7550 Å, c = 18.5799 Å, α = 90.00°, β = 90.00° and γ = 120.00°. The inequivalent atoms are Y at (0.0000, 0.0000, 0.0000), Ta at (0.0000, 0.0000, 0.5000) and P at (0.0000, 0.0000, 0.2406).

---

(4)
Below is Ag5AsCl8 after structural relaxation, with properties calculated at the GGA-PBE level.

The value obtained for the total energy is -2.829 eV/atom.

It has space group I-4 (No. 82), with a = 9.6357 Å, b = 9.6357 Å, c = 8.5310 Å, α = 90.00°, β = 90.00° and γ = 90.00°. The inequivalent atoms are Ag at (0.0000, 0.0000, 0.0000), Ag at (0.1699, 0.7435, 0.6767), As at (0.0000, 0.5000, 0.2500), Cl at (0.0045, 0.2555, 0.9011) and Cl at (0.0106, 0.2714, 0.3688).

---

(5)
Below is Si3HgSb after structural relaxation, with properties calculated at the GGA-PBE level.

The polymorph energy (0 for the lowest one) comes out at 0.0 meV/atom.

It has space group Pm-3m (No. 221), with a = 5.0445 Å, b = 5.0445 Å, c = 5.0445 Å, α = 90.00°, β = 90.00° and γ = 90.00°. The inequivalent atoms are Si at (0.0000, 0.0000, 0.5000), Hg at (0.0000, 0.0000, 0.0000) and Sb at (0.5000, 0.5000, 0.5000).

---

(6)
Below is DyY3Bi4 after structural relaxation, with properties calculated at the GGA-PBE level.

The energy relative to the elements comes out at -0.888 eV/atom. The polymorph energy (0 for the lowest one) comes out at 5.4 meV/atom.

It has space group Cmmm (No. 65), with a = 8.9624 Å, b = 12.6726 Å, c = 4.4836 Å, α = 90.00°, β = 90.00° and γ = 90.00°. The inequivalent atoms are Dy at (0.0000, 0.0000, 0.0000), Y at (0.0000, 0.5000, 0.0000), Y at (0.2500, 0.2500, 0.5000), Bi at (0.0000, 0.2497, 0.0000) and Bi at (0.2496, 0.0000, 0.5000).

---

(7)
Below is TaNbRuW2 after structural relaxation, with properties calculated at the GGA-PBE level.

The energy relative to the elements comes out at 2.276 eV/atom.

It has space group P4/mmm (No. 123), with a = 4.6772 Å, b = 4.6772 Å, c = 4.7870 Å, α = 90.00°, β = 90.00° and γ = 90.00°. The inequivalent atoms are Ta at (0.0000, 0.0000, 0.0000), Nb at (0.0000, 0.0000, 0.5000), Ru at (0.5000, 0.5000, 0.0000) and W at (0.0000, 0.5000, 0.5000).

---

(8)
Below is CoHg3P after structural relaxation, with properties calculated at the GGA-PBE level.

The energy relative to the elements comes out at 0.928 eV/atom. The polymorph energy (0 for the lowest one) comes out at 76.9 meV/atom.

It has space group Pm-3m (No. 221), with a = 5.1264 Å, b = 5.1264 Å, c = 5.1264 Å, α = 90.00°, β = 90.00° and γ = 90.00°. The inequivalent atoms are Co at (0.0000, 0.0000, 0.0000), Hg at (0.0000, 0.5000, 0.5000) and P at (0.5000, 0.5000, 0.5000).

---

(9)
Below is Tm3TeS6 after structural relaxation, with properties calculated at the GGA-PBE level.

The value obtained for the total energy is -5.556 eV/atom.

It has space group Cmc2_1 (No. 36), with a = 10.4329 Å, b = 13.2768 Å, c = 6.6632 Å, α = 90.00°, β = 90.00° and γ = 90.00°. The inequivalent atoms are Tm at (0.0000, 0.0905, 0.0000), Tm at (0.1901, 0.3977, 0.1048), Te at (0.0000, 0.3340, 0.5829), S at (0.0000, 0.2691, 0.2310), S at (0.0000, 0.4887, 0.8625), S at (0.1649, 0.0336, 0.2992) and S at (0.1647, 0.2294, 0.8250).

---

(10)
Below is LiHN after structural relaxation, with properties calculated at the GGA-PBE level.

The polymorph energy (0 for the lowest one) comes out at 283.0 meV/atom.

It has space group Pm (No. 6), with a = 3.0615 Å, b = 2.3601 Å, c = 3.0807 Å, α = 90.00°, β = 109.83° and γ = 90.00°. The inequivalent atoms are Li at (0.0000, 0.0000, 0.0000), H at (0.4471, 0.5000, 0.5403) and N at (0.6691, 0.5000, 0.3493).

---

(11)
Below is LaTb3Pr2Se6 after structural relaxation, with properties calculated at the GGA-PBE level.

The value obtained for the total energy is -5.947 eV/atom.

It has space group C2/m (No. 12), with a = 18.3484 Å, b = 4.1472 Å, c = 8.4735 Å, α = 90.00°, β = 104.71° and γ = 90.00°. The inequivalent atoms are La at (0.0000, 0.0000, 0.0000), Tb at (0.0000, 0.0000, 0.5000), Tb at (0.1670, 0.5000, 0.8330), Pr at (0.1680, 0.5000, 0.3356), Se at (0.0029, 0.5000, 0.7400), Se at (0.1628, 0.0000, 0.5925) and Se at (0.1705, 0.0000, 0.0752).

---

(12)
Below is CaEuTl after structural relaxation, with properties calculated at the GGA-PBE level.

The energy relative to the elements comes out at -0.303 eV/atom. The polymorph energy (0 for the lowest one) comes out at 0.0 meV/atom.

It has space group I4mm (No. 107), with a = 3.9766 Å, b = 3.9766 Å, c = 13.1891 Å, α = 90.00°, β = 90.00° and γ = 90.00°. The inequivalent atoms are Ca at (0.0000, 0.0000, 0.0000), Eu at (0.0000, 0.0000, 0.7181) and Tl at (0.0000, 0.0000, 0.3661).